No. 1
Below is an optimized crystal structure of DyTh3Sb4, with properties calculated at the PBE level.

Lattice parameters (Å, degrees): 7.759 8.925 7.768 90.00 109.25 90.00
Space group P2/c (No. 13)
Asymmetric unit:
Dy 0.000 0.124 0.250 (multiplicity 2)
Th 0.000 0.375 0.750 (multiplicity 2)
Th 0.500 0.125 0.750 (multiplicity 2)
Th 0.500 0.375 0.250 (multiplicity 2)
Sb 0.244 0.122 0.000 (multiplicity 4)
Sb 0.247 0.371 0.496 (multiplicity 4)

Results
**Raw formation energy**: -0.963 eV per atom
**VASP energy**: -6.38 eV per atom
**DOS(E_F)**: 4.14 states/eV/f.u.
**Relative energy among the computed polymorphs**: 0 meV per atom
**Density**: 8.8 g/cm³

---

No. 2
Below is an optimized crystal structure of DyTh2Sb3, with properties calculated at the PBE level.

Lattice parameters (Å, degrees): 4.459 6.327 13.423 90.00 90.00 90.00
Space group Immm (No. 71)
Asymmetric unit:
Dy 0.000 0.000 0.000 (multiplicity 2)
Th 0.000 0.000 0.332 (multiplicity 4)
Sb 0.000 0.500 0.000 (multiplicity 2)
Sb 0.000 0.500 0.339 (multiplicity 4)

Results
**Raw formation energy**: -0.977 eV per atom
**VASP energy**: -6.28 eV per atom
**DOS(E_F)**: 3.03 states/eV/f.u.
**Density**: 8.7 g/cm³

---

No. 3
Below is an optimized crystal structure of DyThSb, with properties calculated at the PBE level.

Lattice parameters (Å, degrees): 4.011 4.011 11.025 90.00 90.00 90.00
Space group I4mm (No. 107)
Asymmetric unit:
Dy 0.000 0.000 0.000 (multiplicity 2)
Th 0.000 0.000 0.698 (multiplicity 2)
Sb 0.000 0.000 0.362 (multiplicity 2)

Results
**Raw formation energy**: -0.526 eV per atom
**VASP energy**: -5.91 eV per atom
**DOS(E_F)**: 2.52 states/eV/f.u.
**Density**: 9.7 g/cm³

---

No. 4
Below is an optimized crystal structure of DyTm3Th2Sb6, with properties calculated at the PBE level.

Lattice parameters (Å, degrees): 19.168 4.415 8.787 90.00 103.05 90.00
Space group C2/m (No. 12)
Asymmetric unit:
Dy 0.000 0.000 0.000 (multiplicity 2)
Tm 0.000 0.000 0.500 (multiplicity 2)
Tm 0.167 0.500 0.834 (multiplicity 4)
Th 0.165 0.500 0.331 (multiplicity 4)
Sb 0.004 0.500 0.749 (multiplicity 4)
Sb 0.164 0.000 0.590 (multiplicity 4)
Sb 0.167 0.000 0.075 (multiplicity 4)

Results
**Raw formation energy**: -1.027 eV per atom
**VASP energy**: -5.83 eV per atom
**DOS(E_F)**: 4.45 states/eV/f.u.
**Density**: 8.5 g/cm³

---

No. 5
Below is an optimized crystal structure of Dy2TmThSb4, with properties calculated at the PBE level.

Lattice parameters (Å, degrees): 7.620 4.415 7.631 90.00 109.49 90.00
Space group P2/m (No. 10)
Asymmetric unit:
Dy 0.000 0.000 0.000 (multiplicity 1)
Dy 0.500 0.500 0.000 (multiplicity 1)
Tm 0.000 0.500 0.500 (multiplicity 1)
Th 0.500 0.000 0.500 (multiplicity 1)
Sb 0.243 0.500 0.245 (multiplicity 2)
Sb 0.245 0.000 0.750 (multiplicity 2)

Results
**Raw formation energy**: -1.068 eV per atom
**VASP energy**: -5.77 eV per atom
**DOS(E_F)**: 1.66 states/eV/f.u.
**Density**: 8.3 g/cm³

---

No. 6
Below is an optimized crystal structure of DyYTh2Sb5, with properties calculated at the PBE level.

Lattice parameters (Å, degrees): 5.262 5.262 11.464 90.00 90.00 90.00
Space group P4/mmm (No. 123)
Asymmetric unit:
Dy 0.000 0.000 0.000 (multiplicity 1)
Y 0.000 0.000 0.500 (multiplicity 1)
Th 0.500 0.500 0.200 (multiplicity 2)
Sb 0.000 0.000 0.253 (multiplicity 2)
Sb 0.000 0.500 0.000 (multiplicity 2)
Sb 0.500 0.500 0.500 (multiplicity 1)

Results
**Raw formation energy**: -0.197 eV per atom
**VASP energy**: -5.37 eV per atom
**DOS(E_F)**: 5.56 states/eV/f.u.
**Density**: 6.9 g/cm³